# NaZnWO2

A geometry-optimized NaZnWO2 structure (PBE+U, Alexandria via LeMat-Bulk).

Output
**DOS at the Fermi energy**: 1.87 states/eV/cell
**Calculated total energy**: -3.072 eV per atom

The structure in extended XYZ format:
```
5
Lattice="-1.627 3.429 1.606 -3.380 -2.199 1.270 1.865 -0.795 3.587" Properties=species:S:1:pos:R:3 pbc="T T T"
O -0.814 1.714 0.803
O 0.933 -0.397 1.794
W -1.571 0.217 3.232
Na 0.000 0.000 0.000
Zn -1.690 -1.100 0.635
```